(1)
A relaxed Sc3OsAu crystal, computed with PBE-GGA.

a b c (Å): 4.981 4.981 4.981
angles (deg): 90.00 90.00 90.00
Space group Pm-3m (No. 221)
Asymmetric unit:
Sc: 0.000 0.000 0.500 (multiplicity 3)
Os: 0.000 0.000 0.000 (multiplicity 1)
Au: 0.500 0.500 0.500 (multiplicity 1)

Values from the calculation:
- crystal system = cubic
- N(E_F) (states/eV/cell) = 3.967
- formation energy (eV per atom) = -0.068
- total energy (eV per atom) = -6.768

(2)
A relaxed ScSiOs2Au crystal, computed with PBE-GGA.

a b c (Å): 4.661 4.661 4.779
angles (deg): 90.00 90.00 90.00
Space group P4/mmm (No. 123)
Asymmetric unit:
Sc: 0.000 0.000 0.000 (multiplicity 1)
Si: 0.000 0.000 0.500 (multiplicity 1)
Os: 0.000 0.500 0.000 (multiplicity 2)
Au: 0.500 0.500 0.500 (multiplicity 1)

Values from the calculation:
- crystal system = tetragonal
- N(E_F) (states/eV/cell) = 3.968
- raw formation energy (meV per atom) = 1946
- total energy (eV per atom) = -5.553

(3)
A relaxed SmScOsAu crystal, computed with PBE-GGA.

a b c (Å): 6.890 6.890 6.890
angles (deg): 90.00 90.00 90.00
Space group F-43m (No. 216)
Asymmetric unit:
Sm: 0.000 0.000 0.000 (multiplicity 4)
Sc: 0.000 0.000 0.500 (multiplicity 4)
Os: 0.250 0.250 0.250 (multiplicity 4)
Au: 0.250 0.250 0.750 (multiplicity 4)

Values from the calculation:
- crystal system = cubic
- N(E_F) (states/eV/cell) = 8.732
- formation energy (eV per atom) = -0.402
- total energy (eV per atom) = -6.792

(4)
A relaxed TbScOsAu crystal, computed with PBE-GGA.

a b c (Å): 6.824 6.824 6.824
angles (deg): 90.00 90.00 90.00
Space group F-43m (No. 216)
Asymmetric unit:
Tb: 0.000 0.000 0.000 (multiplicity 4)
Sc: 0.000 0.000 0.500 (multiplicity 4)
Os: 0.250 0.250 0.250 (multiplicity 4)
Au: 0.250 0.250 0.750 (multiplicity 4)

Values from the calculation:
- crystal system = cubic
- N(E_F) (states/eV/cell) = 7.311
- formation energy (eV per atom) = -0.480
- total energy (eV per atom) = -6.847

(5)
A relaxed YScOs2Au crystal, computed with PBE-GGA.

a b c (Å): 4.987 4.987 4.974
angles (deg): 90.00 90.00 90.00
Space group P4/mmm (No. 123)
Asymmetric unit:
Y: 0.000 0.000 0.000 (multiplicity 1)
Sc: 0.500 0.500 0.000 (multiplicity 1)
Os: 0.000 0.500 0.500 (multiplicity 2)
Au: 0.000 0.000 0.500 (multiplicity 1)

Values from the calculation:
- crystal system = tetragonal
- N(E_F) (states/eV/cell) = 8.939
- formation energy (eV per atom) = 1.433
- total energy (eV per atom) = -6.274

(6)
A relaxed OsAu2Se crystal, computed with PBE-GGA.

a b c (Å): 2.973 2.973 8.507
angles (deg): 90.00 90.00 90.00
Space group P4mm (No. 99)
Asymmetric unit:
Os: 0.000 0.000 0.000 (multiplicity 1)
Au: 0.000 0.000 0.520 (multiplicity 1)
Au: 0.500 0.500 0.759 (multiplicity 1)
Se: 0.500 0.500 0.160 (multiplicity 1)

Values from the calculation:
- crystal system = tetragonal
- N(E_F) (states/eV/cell) = 1.712
- raw formation energy (meV per atom) = 301
- total energy (eV per atom) = -5.016